1.
Here is Dy3BeBr3 after structural relaxation from the Alexandria database. Energies are from GGA-PBE.

raw formation energy = -1.055 eV/atom

Lattice parameters (Å, degrees): 11.460 11.460 11.460 90.00 90.00 90.00
Space group I4_132 (No. 214)
Inequivalent atoms, fractional coordinates:
Dy: 0.111 0.361 0.125
Be: 0.125 0.125 0.125
Br: 0.117 0.133 0.625

2.
Here is Pm12Si7Ir after structural relaxation from the Alexandria database. Energies are from GGA-PBE.

raw formation energy = -0.475 eV/atom

Lattice parameters (Å, degrees): 14.5423 14.5423 9.0078 90.00 90.00 120.00
Space group R-3 (No. 148, hexagonal axes)
Inequivalent atoms, fractional coordinates:
Pm: 0.0318 0.5879 0.3143
Pm: 0.0448 0.8711 0.2698
Si: 0.0000 0.0000 0.5000
Si: 0.0466 0.8634 0.9316
Ir: 0.0000 0.0000 0.0000

3.
Here is Li4NdCd2 after structural relaxation from the Alexandria database. Energies are from GGA-PBE.

formation energy = -88.7 meV/atom

Lattice parameters (Å, degrees): 3.783 3.783 20.392 90.00 90.00 90.00
Space group I4/mmm (No. 139)
Inequivalent atoms, fractional coordinates:
Li: 0.000 0.000 0.152
Li: 0.000 0.500 0.250
Nd: 0.000 0.000 0.000
Cd: 0.000 0.000 0.391